Record 1
{"formula": "LiNiPb2", "functional": "GGA-PBEsol", "state": "optimized geometry", "lattice_angstrom": [[3.9737, 0.0000, 0.0000], [0.0000, 3.9737, 0.0000], [-1.9868, -1.9868, 4.9381]], "species": ["Pb", "Pb", "Ni", "Li"], "fractional_positions": [[0.0000, 0.0000, 0.0000], [0.7500, 0.2500, 0.5000], [0.2500, 0.7500, 0.5000], [0.5000, 0.5000, 0.0000]], "e_form_ev_per_atom": 0.095, "dos_at_fermi_per_ev_cell": 2.094}

***

Record 2
{"formula": "LiNiPb2", "functional": "GGA-PBEsol", "state": "optimized geometry", "lattice_angstrom": [[3.4894, 0.0000, 0.0000], [0.0000, 4.6736, 0.0000], [0.0000, 0.0000, 4.6736]], "species": ["Pb", "Pb", "Ni", "Li"], "fractional_positions": [[0.0000, 0.0000, 0.5000], [0.0000, 0.5000, 0.0000], [0.5000, 0.0000, 0.0000], [0.5000, 0.5000, 0.5000]], "e_form_ev_per_atom": 0.051, "dos_at_fermi_per_ev_cell": 2.098}

***

Record 3
{"formula": "Li2NiPd", "functional": "GGA-PBEsol", "state": "optimized geometry", "lattice_angstrom": [[-0.9875, 4.8320, -0.0178], [-4.6686, 1.5567, -1.6451], [-2.1000, 2.1034, 4.2534]], "species": ["Li", "Li", "Li", "Li", "Pd", "Pd", "Ni", "Ni"], "fractional_positions": [[0.8750, 0.9901, 0.5099], [0.6151, 0.5099, 0.0099], [0.3750, 0.0099, 0.4901], [0.1349, 0.4901, 0.9901], [0.0000, 0.0000, 0.0000], [0.7500, 0.5000, 0.5000], [0.5000, 0.0000, 0.0000], [0.2500, 0.5000, 0.5000]], "e_form_ev_per_atom": 0.159, "dos_at_fermi_per_ev_cell": 7.963}